This record from Alexandria describes a relaxed structure of Cu4NiGe2S7. The functional is PBE.

Unit cell a=6.4561 b=6.4561 c=8.3303 alpha=97.76 beta=97.76 gamma=48.65
Last column: nearest neighbours and their distance in Å.
Atoms (fractional coordinates):
1 Cu 0.1421 0.1421 0.4285  4 S 2.28-2.32
2 Cu 0.2775 0.3003 0.8591  4 S 2.29-2.30
3 Cu 0.6997 0.7225 0.1409  4 S 2.29-2.30
4 Cu 0.8579 0.8579 0.5715  4 S 2.28-2.32
5 Ni 0.9816 0.0184 0.0000  4 S 2.23-2.24
6 Ge 0.4026 0.4491 0.2783  4 S 2.26-2.37
7 Ge 0.5509 0.5974 0.7217  4 S 2.26-2.37
8 S 0.0251 0.5404 0.3558  1 Ge 2.26, 3 Cu 2.28-2.30
9 S 0.1611 0.7000 0.7934  1 Ni 2.23, 2 Cu 2.28-2.29, 1 Ge 2.29
10 S 0.3000 0.8389 0.2066  1 Ni 2.23, 2 Cu 2.28-2.29, 1 Ge 2.29
11 S 0.4596 0.9749 0.6442  1 Ge 2.26, 3 Cu 2.28-2.30
12 S 0.6042 0.1126 0.0722  1 Ni 2.24, 1 Ge 2.29, 2 Cu 2.29-2.30
13 S 0.7373 0.2627 0.5000  2 Cu 2.32, 2 Ge 2.37
14 S 0.8874 0.3958 0.9278  1 Ni 2.24, 1 Ge 2.29, 2 Cu 2.29-2.30

Properties
DOS(E_F)   7.9 states/eV/f.u.
Space group   No. 5
Magnetic moment   1.25 μB/cell
Uncorrected formation energy   -0.32 eV per atom
VASP energy   -64.8 eV per cell